Material: Mg30TiCoO32
Method: DFT, PBE+U
State: relaxed

The calculation puts the volume at 620.3 Å³/cell. The calculation puts the magnetic moment at 2.91 μB per formula unit. As for the electronic total energy: -6.062 eV per atom. The value obtained for the density of states at the Fermi level is 0.174 states/eV/atom.

Unit cell a=8.5332 b=8.5262 c=8.5262 alpha=90.00 beta=90.00 gamma=90.00
Closest atoms and distances in Å follow each position.
Positions (direct):
Mg1 0.2480 0.7533 0.0000  6 O 2.11-2.16
Mg2 0.5000 0.2486 0.7514  6 O 2.12-2.14
Mg3 0.7479 0.7528 0.5000  6 O 2.11-2.16
Mg4 0.2521 0.7528 0.5000  6 O 2.11-2.16
Mg5 0.2521 0.2472 0.5000  6 O 2.11-2.16
Mg6 0.2480 0.0000 0.2467  6 O 2.11-2.16
Mg7 0.7479 0.2472 0.5000  6 O 2.11-2.16
Mg8 0.5000 0.5000 0.5000  6 O 2.12-2.15
Mg9 0.7520 0.0000 0.7533  6 O 2.11-2.16
Mg10 0.0000 0.5000 0.0000  6 O 2.01-2.20
Mg11 0.2521 0.5000 0.7528  6 O 2.11-2.16
Mg12 0.5000 0.5000 0.0000  6 O 2.11-2.14
Mg13 0.7520 0.2467 0.0000  6 O 2.11-2.16
Mg14 0.5000 0.2486 0.2486  6 O 2.12-2.14
Mg15 0.0000 0.2433 0.2433  6 O 2.08-2.19
Mg16 0.7520 0.7533 0.0000  6 O 2.11-2.16
Mg17 0.5000 0.7514 0.7514  6 O 2.12-2.14
Mg18 0.0000 0.0000 0.5000  6 O 2.01-2.20
Mg19 0.5000 0.0000 0.0000  6 O 2.03-2.15
Mg20 0.0000 0.2433 0.7567  6 O 2.08-2.19
Mg21 0.0000 0.7567 0.2433  6 O 2.08-2.19
Mg22 0.7479 0.5000 0.7528  6 O 2.11-2.16
Mg23 0.7479 0.5000 0.2472  6 O 2.11-2.16
Mg24 0.5000 0.7514 0.2486  6 O 2.12-2.14
Mg25 0.5000 0.0000 0.5000  6 O 2.11-2.14
Mg26 0.2480 0.2467 0.0000  6 O 2.11-2.16
Mg27 0.0000 0.7567 0.7567  6 O 2.08-2.19
Mg28 0.2480 0.0000 0.7533  6 O 2.11-2.16
Mg29 0.7520 0.0000 0.2467  6 O 2.11-2.16
Mg30 0.2521 0.5000 0.2472  6 O 2.11-2.16
O1 0.7509 0.7494 0.7494  6 Mg 2.13-2.14
O2 0.0000 0.0000 0.7360  5 Mg 2.01-2.12, 1 Co 2.25
O3 0.5000 0.2516 0.5000  6 Mg 2.12-2.14
O4 0.7509 0.2506 0.2506  6 Mg 2.13-2.14
O5 0.5000 0.5000 0.2516  6 Mg 2.12-2.14
O6 0.5000 0.2524 0.0000  6 Mg 2.11-2.15
O7 0.5000 0.7484 0.5000  6 Mg 2.12-2.14
O8 0.2505 0.5000 0.0000  6 Mg 2.11-2.16
O9 0.0000 0.5000 0.7424  1 Ti 2.07, 5 Mg 2.15-2.20
O10 0.2491 0.7494 0.2506  6 Mg 2.13-2.14
O11 0.5000 0.7476 0.0000  6 Mg 2.11-2.15
O12 0.0000 0.2576 0.5000  1 Ti 2.07, 5 Mg 2.15-2.20
O13 0.0000 0.2640 0.0000  5 Mg 2.01-2.12, 1 Co 2.25
O14 0.5000 0.5000 0.7484  6 Mg 2.12-2.14
O15 0.7495 0.0000 0.5000  6 Mg 2.11-2.16
O16 0.2491 0.2506 0.7494  6 Mg 2.13-2.14
O17 0.0000 0.0000 0.2640  5 Mg 2.01-2.12, 1 Co 2.25
O18 0.7381 0.0000 0.0000  5 Mg 2.03-2.11, 1 Co 2.24
O19 0.2491 0.7494 0.7494  6 Mg 2.13-2.14
O20 0.7495 0.5000 0.0000  6 Mg 2.11-2.16
O21 0.5000 0.0000 0.7476  6 Mg 2.11-2.15
O22 0.2485 0.5000 0.5000  1 Ti 2.12, 5 Mg 2.15-2.16
O23 0.7509 0.2506 0.7494  6 Mg 2.13-2.14
O24 0.0000 0.5000 0.2576  1 Ti 2.07, 5 Mg 2.15-2.20
O25 0.5000 0.0000 0.2524  6 Mg 2.11-2.15
O26 0.0000 0.7360 0.0000  5 Mg 2.01-2.12, 1 Co 2.25
O27 0.2505 0.0000 0.5000  6 Mg 2.11-2.16
O28 0.0000 0.7424 0.5000  1 Ti 2.07, 5 Mg 2.15-2.20
O29 0.7509 0.7494 0.2506  6 Mg 2.13-2.14
O30 0.2619 0.0000 0.0000  5 Mg 2.03-2.11, 1 Co 2.24
O31 0.2491 0.2506 0.2506  6 Mg 2.13-2.14
O32 0.7515 0.5000 0.5000  1 Ti 2.12, 5 Mg 2.15-2.16
Ti1 0.0000 0.5000 0.5000  6 O 2.07-2.12
Co1 0.0000 0.0000 0.0000  6 O 2.24-2.25